No. 1
DFT (GGA-PBE) results for an optimized crystal structure of In2CuGe.

The spin magnetization comes out at 0.00 μB per formula unit. As for the density: 6.59 g/cm³. The value obtained for the volume is 369 Å³ per cell. The formation energy is 0.265 eV per atom. As for the total energy: -13.1 eV per formula unit. The density of states at the Fermi level comes out at 7.03 states/eV/cell.

The structure belongs to space group I-42d (No. 122); the cell edges are 4.6284, 4.6284 and 17.2145 Å and the angles 90.00°, 90.00° and 90.00°. The distinct sites, in fractional coordinates, are In at (0.2145, 0.2500, 0.1250), Cu at (0.0000, 0.0000, 0.0000) and Ge at (0.0000, 0.0000, 0.5000).

---

No. 2
DFT (GGA-PBE) results for an optimized crystal structure of ZnSi2S.

The spin magnetization comes out at 0.00 μB per formula unit. The calculation puts the energy above the most stable polymorph in this dataset at 0.3708 eV/atom. As for the density: 3.97 g/cm³. The value obtained for the volume is 257 Å³ per cell. As for the uncorrected formation energy: 0.5973 eV per atom. As for the total energy: -13.9 eV per formula unit. The density of states at the Fermi level comes out at 9.44 states/eV/cell.

The structure belongs to space group Fm-3m (No. 225); the cell edges are 6.3585, 6.3585 and 6.3585 Å and the angles 90.00°, 90.00° and 90.00°. The distinct sites, in fractional coordinates, are Zn at (0.0000, 0.0000, 0.0000), Si at (0.2500, 0.2500, 0.2500) and S at (0.0000, 0.0000, 0.5000).

---

No. 3
DFT (GGA-PBE) results for an optimized crystal structure of CePa4Co5.

The spin magnetization comes out at 0.00 μB per formula unit. As for the density: 12.29 g/cm³. The value obtained for the volume is 367 Å³ per cell. The formation energy is -0.249 eV per atom. As for the total energy: -81.9 eV per formula unit. The density of states at the Fermi level comes out at 23.34 states/eV/cell.

The structure belongs to space group C2/m (No. 12); the cell edges are 17.6566, 3.6148 and 5.8933 Å and the angles 90.00°, 102.59° and 90.00°. The distinct sites, in fractional coordinates, are Ce at (0.0000, 0.0000, 0.0000), Pa at (0.1121, 0.5000, 0.7426), Pa at (0.1812, 0.0000, 0.2914), Co at (0.0000, 0.0000, 0.5000), Co at (0.0733, 0.5000, 0.2934) and Co at (0.2272, 0.0000, 0.8199).

---

No. 4
DFT (GGA-PBE) results for an optimized crystal structure of Ca2La5Er.

The spin magnetization comes out at 0.00 μB per formula unit. As for the density: 5.24 g/cm³. The value obtained for the volume is 597 Å³ per cell. The formation energy is 0.041 eV per atom. As for the total energy: -32.9 eV per formula unit. The density of states at the Fermi level comes out at 28.99 states/eV/cell.

The structure belongs to space group I4/mmm (No. 139); the cell edges are 5.2397, 5.2397 and 21.7350 Å and the angles 90.00°, 90.00° and 90.00°. The distinct sites, in fractional coordinates, are Ca at (0.0000, 0.0000, 0.2494), La at (0.0000, 0.0000, 0.0000), La at (0.0000, 0.5000, 0.1170) and Er at (0.0000, 0.0000, 0.5000).

---

No. 5
DFT (GGA-PBE) results for an optimized crystal structure of NdTlCdCl6.

The spin magnetization comes out at 0.00 μB per formula unit. As for the density: 3.69 g/cm³. The value obtained for the volume is 607 Å³ per cell. As for the uncorrected formation energy: -1.6082 eV per atom. As for the total energy: -33.6 eV per formula unit. The density of states at the Fermi level comes out at 0.00 states/eV/cell.

The structure belongs to space group P-31c (No. 163); the cell edges are 7.0910, 7.0910 and 13.9308 Å and the angles 90.00°, 90.00° and 120.00°. The distinct sites, in fractional coordinates, are Nd at (0.3333, 0.6667, 0.2500), Tl at (0.0000, 0.0000, 0.0000), Cd at (0.3333, 0.6667, 0.7500) and Cl at (0.0091, 0.3769, 0.6393).

---

No. 6
DFT (GGA-PBE) results for an optimized crystal structure of BaTc2Pb.

The spin magnetization comes out at 0.00 μB per formula unit. As for the density: 7.87 g/cm³. The value obtained for the volume is 228 Å³ per cell. The formation energy is 0.573 eV per atom. As for the total energy: -24.1 eV per formula unit. The density of states at the Fermi level comes out at 10.12 states/eV/cell.

The structure belongs to space group Imm2 (No. 44); the cell edges are 3.8436, 4.7890 and 12.3863 Å and the angles 90.00°, 90.00° and 90.00°. The distinct sites, in fractional coordinates, are Ba at (0.0000, 0.0000, 0.0000), Tc at (0.0000, 0.0000, 0.6196), Tc at (0.0000, 0.5000, 0.2256) and Pb at (0.0000, 0.5000, 0.7627).

---

No. 7
DFT (GGA-PBE) results for an optimized crystal structure of Pr4Pu3ThS8.

The spin magnetization comes out at 16.68 μB per formula unit. As for the density: 7.93 g/cm³. The value obtained for the volume is 1120 Å³ per cell. As for the uncorrected formation energy: -1.9141 eV per atom. As for the total energy: -133.2 eV per formula unit. The density of states at the Fermi level comes out at 72.11 states/eV/cell.

The structure belongs to space group R-3m (No. 166, hexagonal axes); the cell edges are 8.0640, 8.0640 and 19.8937 Å and the angles 90.00°, 90.00° and 120.00°. The distinct sites, in fractional coordinates, are Pr at (0.0000, 0.0000, 0.0000), Pr at (0.0000, 0.5000, 0.0000), Pu at (0.0000, 0.5000, 0.5000), Th at (0.0000, 0.0000, 0.5000), S at (0.0000, 0.0000, 0.2452) and S at (0.0039, 0.5019, 0.7536).

---

No. 8
DFT (GGA-PBE) results for an optimized crystal structure of POsW2.

The spin magnetization comes out at 0.00 μB per formula unit. As for the density: 16.84 g/cm³. The value obtained for the volume is 116 Å³ per cell. The formation energy is -0.041 eV per atom. As for the total energy: -42.7 eV per formula unit. The density of states at the Fermi level comes out at 4.44 states/eV/cell.

The structure belongs to space group Imm2 (No. 44); the cell edges are 2.9212, 4.4089 and 9.0185 Å and the angles 90.00°, 90.00° and 90.00°. The distinct sites, in fractional coordinates, are P at (0.0000, 0.0000, 0.0000), Os at (0.0000, 0.5000, 0.7101), W at (0.0000, 0.0000, 0.4828) and W at (0.0000, 0.5000, 0.2803).

---

No. 9
DFT (GGA-PBE) results for an optimized crystal structure of HgBi2Pd3.

The spin magnetization comes out at 0.00 μB per formula unit. The calculation puts the energy above the most stable polymorph in this dataset at 0.0000 eV/atom. As for the density: 11.61 g/cm³. The value obtained for the volume is 537 Å³ per cell. The formation energy is -0.237 eV per atom. As for the total energy: -25.1 eV per formula unit. The density of states at the Fermi level comes out at 10.35 states/eV/cell.

The structure belongs to space group Cmcm (No. 63); the cell edges are 12.8866, 7.2903 and 5.7108 Å and the angles 90.00°, 90.00° and 90.00°. The distinct sites, in fractional coordinates, are Hg at (0.0000, 0.1559, 0.2500), Bi at (0.1650, 0.3343, 0.7500), Pd at (0.0000, 0.5000, 0.0000) and Pd at (0.1691, 0.0000, 0.0000).

---

No. 10
DFT (GGA-PBE) results for an optimized crystal structure of LiGaBi2.

The spin magnetization comes out at 0.00 μB per formula unit. As for the density: 7.64 g/cm³. The value obtained for the volume is 323 Å³ per cell. The formation energy is -0.062 eV per atom. As for the total energy: -13.0 eV per formula unit. The density of states at the Fermi level comes out at 5.01 states/eV/cell.

The structure belongs to space group R3m (No. 160, hexagonal axes); the cell edges are 4.6860, 4.6860 and 16.9617 Å and the angles 90.00°, 90.00° and 120.00°. The distinct sites, in fractional coordinates, are Li at (0.0000, 0.0000, 0.0000), Ga at (0.0000, 0.0000, 0.1678), Bi at (0.0000, 0.0000, 0.4056) and Bi at (0.0000, 0.0000, 0.5962).

---

No. 11
DFT (GGA-PBE) results for an optimized crystal structure of LaRhBr2.

The spin magnetization comes out at 0.00 μB per formula unit. The calculation puts the energy above the most stable polymorph in this dataset at 0.4044 eV/atom. As for the density: 6.36 g/cm³. The value obtained for the volume is 419 Å³ per cell. As for the uncorrected formation energy: -0.7302 eV per atom. As for the total energy: -18.5 eV per formula unit. The density of states at the Fermi level comes out at 0.20 states/eV/cell.

The structure belongs to space group I-42d (No. 122); the cell edges are 4.7625, 4.7625 and 18.4887 Å and the angles 90.00°, 90.00° and 90.00°. The distinct sites, in fractional coordinates, are La at (0.0000, 0.0000, 0.0000), Rh at (0.0000, 0.0000, 0.5000) and Br at (0.2212, 0.2500, 0.6250).

---

No. 12
DFT (GGA-PBE) results for an optimized crystal structure of Ac6BiSb3Te2.

The spin magnetization comes out at 0.00 μB per formula unit. As for the density: 7.79 g/cm³. The value obtained for the volume is 935 Å³ per cell. As for the uncorrected formation energy: -1.3206 eV per atom. As for the total energy: -63.0 eV per formula unit. The density of states at the Fermi level comes out at 5.18 states/eV/cell.

The structure belongs to space group C2/m (No. 12); the cell edges are 8.3007, 14.3858 and 8.3012 Å and the angles 90.00°, 109.45° and 90.00°. The distinct sites, in fractional coordinates, are Ac at (0.2454, 0.0000, 0.2418), Ac at (0.2481, 0.3342, 0.2420), Bi at (0.0000, 0.0000, 0.5000), Sb at (0.0000, 0.1673, 0.0000), Sb at (0.0000, 0.5000, 0.0000) and Te at (0.0000, 0.3335, 0.5000).